Crystalline BaLaMnInO6 at its relaxed geometry. Source: the Alexandria database, functional PBE with a Hubbard U.

Final energy ... -65.30 eV/cell
Spin magnetization ... 3.0 μB per formula unit
Symmetry ... No. 216
Polymorph energy (0 for the lowest one) ... 0.327 eV per atom

Cell and atoms, written as extended XYZ:
```
10
Lattice="0.000 4.223 4.223 4.223 0.000 4.223 4.223 4.223 0.000" Properties=species:S:1:pos:R:3 pbc="T T T"
Ba 0.000 0.000 0.000
La 6.334 6.334 6.334
Mn 2.111 2.111 2.111
In 4.223 4.223 4.223
O 2.111 2.111 0.205
O 2.111 0.205 2.111
O 4.018 2.111 2.111
O 0.205 2.111 2.111
O 2.111 4.018 2.111
O 2.111 2.111 4.018
```